*i*
# Ho3MgCd3 GGA-PBE optimized geometry
data_Ho3MgCd3
_symmetry_space_group_name_H-M 'C 1 2/m 1'
_symmetry_Int_Tables_number 12
_symmetry_space_group_name_Hall '-C 2y'
_cell_length_a 10.351
_cell_length_b 10.621
_cell_length_c 6.888
_cell_angle_alpha 90.00
_cell_angle_beta 90.11
_cell_angle_gamma 90.00
loop_
_atom_site_label
_atom_site_type_symbol
_atom_site_fract_x
_atom_site_fract_y
_atom_site_fract_z
_atom_site_occupancy
Ho1 Ho 0.002 0.000 0.249 1
Ho2 Ho 0.250 0.246 0.750 1
Mg1 Mg 0.171 0.500 0.992 1
Cd1 Cd 0.000 0.262 0.000 1
Cd2 Cd 0.000 0.286 0.500 1
Cd3 Cd 0.212 0.500 0.505 1
# * N(E_F): 0.773 states/eV/atom
# * magnetization: 0.392 μB/f.u.


*ii*
# Ho3MgCd3 GGA-PBE optimized geometry
data_Ho3MgCd3
_symmetry_space_group_name_H-M 'C 1 2/m 1'
_symmetry_Int_Tables_number 12
_symmetry_space_group_name_Hall '-C 2y'
_cell_length_a 7.211
_cell_length_b 10.473
_cell_length_c 9.893
_cell_angle_alpha 90.00
_cell_angle_beta 93.08
_cell_angle_gamma 90.00
loop_
_atom_site_label
_atom_site_type_symbol
_atom_site_fract_x
_atom_site_fract_y
_atom_site_fract_z
_atom_site_occupancy
Ho1 Ho 0.000 0.173 0.000 1
Ho2 Ho 0.000 0.233 0.500 1
Ho3 Ho 0.072 0.500 0.825 1
Mg1 Mg 0.213 0.500 0.468 1
Cd1 Cd 0.028 0.000 0.274 1
Cd2 Cd 0.233 0.284 0.243 1
# * N(E_F): 0.935 states/eV/atom
# * magnetization: 0.000 μB/f.u.


Which of them is the most stable, and which is the least stable? *ii* and *i*, in that order.


*i*
# Ho3MgCd2 GGA-PBE optimized geometry
data_Ho3MgCd2
_symmetry_space_group_name_H-M 'C m m m'
_symmetry_Int_Tables_number 65
_symmetry_space_group_name_Hall '-C 2 2'
_cell_length_a 5.267
_cell_length_b 15.919
_cell_length_c 3.747
_cell_angle_alpha 90.00
_cell_angle_beta 90.00
_cell_angle_gamma 90.00
loop_
_atom_site_label
_atom_site_type_symbol
_atom_site_fract_x
_atom_site_fract_y
_atom_site_fract_z
_atom_site_occupancy
Ho1 Ho 0.000 0.000 0.000 1
Ho2 Ho 0.000 0.331 0.000 1
Mg1 Mg 0.000 0.500 0.500 1
Cd1 Cd 0.000 0.160 0.500 1
# * N(E_F): 1.081 states/eV/atom
# * magnetization: 0.000 μB/f.u.


*ii*
# Ho3MgCd2 GGA-PBE optimized geometry
data_Ho3MgCd2
_symmetry_space_group_name_H-M 'P 4/m m m'
_symmetry_Int_Tables_number 123
_symmetry_space_group_name_Hall '-P 4 2'
_cell_length_a 3.760
_cell_length_b 3.760
_cell_length_c 11.121
_cell_angle_alpha 90.00
_cell_angle_beta 90.00
_cell_angle_gamma 90.00
loop_
_atom_site_label
_atom_site_type_symbol
_atom_site_fract_x
_atom_site_fract_y
_atom_site_fract_z
_atom_site_occupancy
Ho1 Ho 0.000 0.000 0.000 1
Ho2 Ho 0.000 0.000 0.331 1
Mg1 Mg 0.500 0.500 0.500 1
Cd1 Cd 0.500 0.500 0.169 1
# * N(E_F): 1.177 states/eV/atom
# * magnetization: 0.001 μB/f.u.


Which of them is the most stable, and which is the least stable? *i* and *ii*, in that order.


*i*
# HoMgCdPb GGA-PBE optimized geometry
data_HoMgCdPb
_symmetry_space_group_name_H-M 'P m m m'
_symmetry_Int_Tables_number 47
_symmetry_space_group_name_Hall '-P 2 2'
_cell_length_a 4.379
_cell_length_b 4.646
_cell_length_c 4.887
_cell_angle_alpha 90.00
_cell_angle_beta 90.00
_cell_angle_gamma 90.00
loop_
_atom_site_label
_atom_site_type_symbol
_atom_site_fract_x
_atom_site_fract_y
_atom_site_fract_z
_atom_site_occupancy
Ho1 Ho 0.000 0.000 0.000 1
Mg1 Mg 0.000 0.500 0.500 1
Cd1 Cd 0.500 0.000 0.500 1
Pb1 Pb 0.500 0.500 0.000 1
# * N(E_F): 0.390 states/eV/atom
# * magnetization: 0.000 μB/f.u.


*ii*
# HoMgCdPb GGA-PBE optimized geometry
data_HoMgCdPb
_symmetry_space_group_name_H-M 'F -4 3 m'
_symmetry_Int_Tables_number 216
_symmetry_space_group_name_Hall 'F -4 2 3'
_cell_length_a 7.393
_cell_length_b 7.393
_cell_length_c 7.393
_cell_angle_alpha 90.00
_cell_angle_beta 90.00
_cell_angle_gamma 90.00
loop_
_atom_site_label
_atom_site_type_symbol
_atom_site_fract_x
_atom_site_fract_y
_atom_site_fract_z
_atom_site_occupancy
Ho1 Ho 0.000 0.000 0.000 1
Mg1 Mg 0.000 0.000 0.500 1
Cd1 Cd 0.250 0.250 0.250 1
Pb1 Pb 0.250 0.250 0.750 1
# * N(E_F): 0.605 states/eV/atom
# * magnetization: 0.000 μB/f.u.


Which of them is the most stable, and which is the least stable? *i* and *ii*, in that order.


*i*
# HoMgCdSn GGA-PBE optimized geometry
data_HoMgCdSn
_symmetry_space_group_name_H-M 'P m m m'
_symmetry_Int_Tables_number 47
_symmetry_space_group_name_Hall '-P 2 2'
_cell_length_a 4.370
_cell_length_b 4.542
_cell_length_c 4.792
_cell_angle_alpha 90.00
_cell_angle_beta 90.00
_cell_angle_gamma 90.00
loop_
_atom_site_label
_atom_site_type_symbol
_atom_site_fract_x
_atom_site_fract_y
_atom_site_fract_z
_atom_site_occupancy
Ho1 Ho 0.000 0.000 0.000 1
Mg1 Mg 0.000 0.500 0.500 1
Cd1 Cd 0.500 0.000 0.500 1
Sn1 Sn 0.500 0.500 0.000 1
# * N(E_F): 0.345 states/eV/atom
# * magnetization: 0.000 μB/f.u.


*ii*
# HoMgCdSn GGA-PBE optimized geometry
data_HoMgCdSn
_symmetry_space_group_name_H-M 'F -4 3 m'
_symmetry_Int_Tables_number 216
_symmetry_space_group_name_Hall 'F -4 2 3'
_cell_length_a 7.296
_cell_length_b 7.296
_cell_length_c 7.296
_cell_angle_alpha 90.00
_cell_angle_beta 90.00
_cell_angle_gamma 90.00
loop_
_atom_site_label
_atom_site_type_symbol
_atom_site_fract_x
_atom_site_fract_y
_atom_site_fract_z
_atom_site_occupancy
Ho1 Ho 0.000 0.000 0.000 1
Mg1 Mg 0.000 0.000 0.500 1
Cd1 Cd 0.250 0.250 0.750 1
Sn1 Sn 0.250 0.250 0.250 1
# * N(E_F): 0.681 states/eV/atom
# * magnetization: 0.000 μB/f.u.


Which of them is the most stable, and which is the least stable? *i* and *ii*, in that order.


*i*
# NaHo2Cd GGA-PBE optimized geometry
data_NaHo2Cd
_symmetry_space_group_name_H-M 'R -3 m'
_symmetry_Int_Tables_number 166
_symmetry_space_group_name_Hall '-R 3 2"'
_cell_length_a 3.4568
_cell_length_b 3.4568
_cell_length_c 36.1804
_cell_angle_alpha 90.00
_cell_angle_beta 90.00
_cell_angle_gamma 120.00
loop_
_atom_site_label
_atom_site_type_symbol
_atom_site_fract_x
_atom_site_fract_y
_atom_site_fract_z
_atom_site_occupancy
Na1 Na 0.0000 0.0000 0.0000 1
Ho1 Ho 0.0000 0.0000 0.0971 1
Cd1 Cd 0.0000 0.0000 0.5000 1
# * N(E_F): 1.051 states/eV/atom
# * magnetization: 0.000 μB/f.u.


*ii*
# NaHo2Cd GGA-PBE optimized geometry
data_NaHo2Cd
_symmetry_space_group_name_H-M 'P 4/m m m'
_symmetry_Int_Tables_number 123
_symmetry_space_group_name_Hall '-P 4 2'
_cell_length_a 3.724
_cell_length_b 3.724
_cell_length_c 8.572
_cell_angle_alpha 90.00
_cell_angle_beta 90.00
_cell_angle_gamma 90.00
loop_
_atom_site_label
_atom_site_type_symbol
_atom_site_fract_x
_atom_site_fract_y
_atom_site_fract_z
_atom_site_occupancy
Na1 Na 0.000 0.000 0.000 1
Ho1 Ho 0.500 0.500 0.292 1
Cd1 Cd 0.000 0.000 0.500 1
# * N(E_F): 1.152 states/eV/atom
# * magnetization: 0.003 μB/f.u.


Which of them is the most stable, and which is the least stable? *ii* and *i*, in that order.


*i*
# NaHoCd2 GGA-PBE optimized geometry
data_NaHoCd2
_symmetry_space_group_name_H-M 'P 4/m m m'
_symmetry_Int_Tables_number 123
_symmetry_space_group_name_Hall '-P 4 2'
_cell_length_a 5.465
_cell_length_b 5.465
_cell_length_c 3.441
_cell_angle_alpha 90.00
_cell_angle_beta 90.00
_cell_angle_gamma 90.00
loop_
_atom_site_label
_atom_site_type_symbol
_atom_site_fract_x
_atom_site_fract_y
_atom_site_fract_z
_atom_site_occupancy
Na1 Na 0.000 0.000 0.000 1
Ho1 Ho 0.500 0.500 0.000 1
Cd1 Cd 0.000 0.500 0.500 1
# * N(E_F): 0.538 states/eV/atom
# * magnetization: 0.000 μB/f.u.


*ii*
# NaHoCd2 GGA-PBE optimized geometry
data_NaHoCd2
_symmetry_space_group_name_H-M 'F m -3 m'
_symmetry_Int_Tables_number 225
_symmetry_space_group_name_Hall '-F 4 2 3'
_cell_length_a 7.365
_cell_length_b 7.365
_cell_length_c 7.365
_cell_angle_alpha 90.00
_cell_angle_beta 90.00
_cell_angle_gamma 90.00
loop_
_atom_site_label
_atom_site_type_symbol
_atom_site_fract_x
_atom_site_fract_y
_atom_site_fract_z
_atom_site_occupancy
Na1 Na 0.000 0.000 0.000 1
Ho1 Ho 0.000 0.000 0.500 1
Cd1 Cd 0.250 0.250 0.250 1
# * N(E_F): 0.687 states/eV/atom
# * magnetization: 0.000 μB/f.u.


Which of them is the most stable, and which is the least stable? *i* and *ii*, in that order.